{"formula": "CoCuAs2", "functional": "PBE-GGA", "state": "relaxed", "n_ef_per_ev_atom": 1.020, "ef_kj_per_mol_atoms": 46, "sg": "F-43m, No. 216", "e_above_lowest_polymorph_ev_per_atom": 0.4616, "lattice": [[4.3876, 0.0000, 0.0000], [2.1938, 3.7998, 0.0000], [2.1938, 1.2666, 3.5824]], "species": ["As", "As", "Co", "Cu"], "fractional_positions": [[0.0000, 0.0000, 0.0000], [0.2500, 0.2500, 0.2500], [0.5000, 0.5000, 0.5000], [0.7500, 0.7500, 0.7500]]}

=====

{"formula": "CoCuAs2", "functional": "PBE-GGA", "state": "relaxed", "n_ef_per_ev_atom": 0.813, "ef_kj_per_mol_atoms": 7, "sg": "R-3m, No. 166", "e_above_lowest_polymorph_ev_per_atom": 0.0529, "lattice": [[7.3517, -0.0508, -0.0302], [6.7203, 2.9812, -0.0302], [6.7203, 1.3995, 2.6324]], "species": ["Cu", "As", "As", "Co"], "fractional_positions": [[0.7500, 0.7500, 0.7500], [0.9928, 0.9928, 0.9928], [0.5072, 0.5072, 0.5072], [0.2500, 0.2500, 0.2500]]}

=====

{"formula": "CoCu2As", "functional": "PBE-GGA", "state": "relaxed", "n_ef_per_ev_atom": 1.097, "ef_kj_per_mol_atoms": 32, "sg": "R-3m, No. 166", "lattice": [[8.4214, -0.0267, -0.0157], [7.9835, 2.6803, -0.0157], [7.9835, 1.2914, 2.3487]], "species": ["As", "Co", "Cu", "Cu"], "fractional_positions": [[0.2500, 0.2500, 0.2500], [0.7500, 0.7500, 0.7500], [0.0032, 0.0032, 0.0032], [0.4968, 0.4968, 0.4968]]}

=====

{"formula": "CoCu2As", "functional": "PBE-GGA", "state": "relaxed", "n_ef_per_ev_atom": 0.714, "ef_kj_per_mol_atoms": 19, "sg": "R3m, No. 160", "lattice": [[7.9564, -0.0233, -0.0137], [7.4701, 2.7392, -0.0137], [7.4701, 1.3152, 2.4029]], "species": ["Cu", "Cu", "Co", "As"], "fractional_positions": [[0.0024, 0.0024, 0.0024], [0.2524, 0.2524, 0.2524], [0.7529, 0.7529, 0.7529], [0.4923, 0.4923, 0.4923]]}